A geometry-optimized LaH3Ir structure, computed with PBE.

```
LaH3Ir
1.0
4.6153 0.0000 0.0000
0.0000 8.0802 0.0000
0.0000 0.0000 6.6945
La H Ir
4 12 4
Direct
0.0000 0.0000 0.0000 La
0.0000 0.5000 0.0000 La
0.5000 0.0000 0.5000 La
0.5000 0.5000 0.5000 La
0.0008 0.0987 0.3704 H
0.0008 0.4013 0.3704 H
0.2401 0.7500 0.2433 H
0.2599 0.2500 0.7433 H
0.4992 0.5987 0.8704 H
0.4992 0.9013 0.8704 H
0.5008 0.0987 0.1296 H
0.5008 0.4013 0.1296 H
0.7401 0.7500 0.2567 H
0.7599 0.2500 0.7567 H
0.9992 0.5987 0.6296 H
0.9992 0.9013 0.6296 H
0.0034 0.7500 0.4543 Ir
0.4966 0.2500 0.9543 Ir
0.5034 0.7500 0.0457 Ir
0.9966 0.2500 0.5457 Ir
```

Computed properties:
Density of states at the Fermi level, states/eV/atom: 0.33
Total magnetization, μB/f.u.: 0.00
Total energy, eV/f.u.: -25.638

A geometry-optimized CaAu3S structure, computed with PBE.

```
CaAu3S
1.0
4.9081 0.0000 0.0000
0.0000 4.9081 0.0000
0.0000 0.0000 4.9081
Ca Au S
1 3 1
Direct
0.0000 0.0000 0.0000 Ca
0.0000 0.5000 0.5000 Au
0.5000 0.0000 0.5000 Au
0.5000 0.5000 0.0000 Au
0.5000 0.5000 0.5000 S
```

Computed properties:
Density of states at the Fermi level, states/eV/atom: 0.47
Total magnetization, μB/f.u.: 0.00
Distance to the lowest polymorph of the same formula, eV/atom: 0.000
Energy relative to the elements, uncorrected, kcal/mol of atoms: -1.1

A geometry-optimized YHoRu structure, computed with PBE.

```
YHoRu
1.0
5.4640 0.0000 0.0000
-2.7320 4.7320 0.0000
0.0000 0.0000 7.9669
Y Ho Ru
3 3 3
Direct
0.1801 0.3603 0.3333 Y
0.1801 0.8199 0.6667 Y
0.6397 0.8199 0.0000 Y
0.3640 0.1820 0.0000 Ho
0.8180 0.1820 0.6667 Ho
0.8180 0.6360 0.3333 Ho
0.5032 0.0064 0.3333 Ru
0.5032 0.4968 0.6667 Ru
0.9936 0.4968 0.0000 Ru
```

Computed properties:
Density of states at the Fermi level, states/eV/atom: 0.79
Total magnetization, μB/f.u.: 0.00
Distance to the lowest polymorph of the same formula, eV/atom: 0.274

A geometry-optimized CsRb4Cd2 structure, computed with PBE.

```
CsRb4Cd2
1.0
3.1608 -11.6463 0.0000
3.1608 11.6463 0.0000
0.0000 0.0000 6.3561
Cs Rb Cd
1 4 2
Direct
0.0000 0.0000 0.0000 Cs
0.1652 0.8348 0.5000 Rb
0.3362 0.6638 0.0000 Rb
0.6638 0.3362 0.0000 Rb
0.8348 0.1652 0.5000 Rb
0.4371 0.5629 0.5000 Cd
0.5629 0.4371 0.5000 Cd
```

Computed properties:
Density of states at the Fermi level, states/eV/atom: 0.85
Total magnetization, μB/f.u.: 0.00
Total energy, eV/f.u.: -6.377

- total magnetization of number 4 (CsRb4Cd2)?
  0.00 μB/f.u.

- What is the total magnetization in the third record?
  0.00 μB/f.u.